VASP calculation (PBE-GGA) on crystalline Nd8BiSb5 at its relaxed geometry.

Cell lengths 8.266, 8.266, 8.266 Å; angles 109.43, 109.43, 109.56 degrees
Fractional positions:
Nd 0.020 0.124 0.755
Nd 0.238 0.486 0.609
Nd 0.370 0.266 0.245
Nd 0.371 0.762 0.248
Nd 0.514 0.124 0.752
Nd 0.734 0.980 0.104
Nd 0.876 0.629 0.391
Nd 0.876 0.630 0.896
Bi 0.750 0.250 0.500
Sb 0.127 0.003 0.377
Sb 0.250 0.873 0.875
Sb 0.500 0.500 0.000
Sb 0.626 0.750 0.623
Sb 0.997 0.374 0.125

Values from the calculation:
Total energy ... -77.0 eV for the cell shown
Formation energy from raw total energies ... -1.02 eV/atom
V ... 434.8 Å³/cell
Calculated density ... 7.530 Mg/m³

***

VASP calculation (PBE-GGA) on crystalline Nd2BiSb3 at its relaxed geometry.

Cell lengths 7.891, 7.891, 7.891 Å; angles 146.65, 131.94, 59.75 degrees
Fractional positions:
Nd 0.167 0.167 0.000
Nd 0.833 0.833 0.000
Bi 0.500 0.500 0.000
Sb 0.000 0.500 0.500
Sb 0.334 0.834 0.500
Sb 0.666 0.166 0.500

Values from the calculation:
Total energy ... -29.9 eV for the cell shown
Formation energy from raw total energies ... -0.69 eV/atom
V ... 199.1 Å³/cell
Calculated density ... 7.195 Mg/m³

***

VASP calculation (PBE-GGA) on crystalline Nd5BiSb4 at its relaxed geometry.

Cell lengths 7.866, 7.866, 7.866 Å; angles 99.59, 99.59, 131.81 degrees
Fractional positions:
Nd 0.000 0.000 0.000
Nd 0.197 0.399 0.596
Nd 0.399 0.803 0.203
Nd 0.601 0.197 0.797
Nd 0.803 0.601 0.404
Bi 0.500 0.500 0.000
Sb 0.101 0.700 0.801
Sb 0.300 0.101 0.401
Sb 0.700 0.899 0.599
Sb 0.899 0.300 0.199

Values from the calculation:
Total energy ... -55.6 eV for the cell shown
Formation energy from raw total energies ... -1.14 eV/atom
V ... 331.2 Å³/cell
Calculated density ... 7.106 Mg/m³

***

VASP calculation (PBE-GGA) on crystalline NdBiSb at its relaxed geometry.

Cell lengths 6.528, 6.886, 9.145 Å; angles 90.00, 114.34, 90.00 degrees
Fractional positions:
Nd 0.250 0.243 0.070
Nd 0.250 0.257 0.570
Nd 0.750 0.743 0.430
Nd 0.750 0.757 0.930
Bi 0.329 0.746 0.064
Bi 0.329 0.754 0.564
Bi 0.671 0.246 0.436
Bi 0.671 0.254 0.936
Sb 0.001 0.501 0.247
Sb 0.001 0.999 0.747
Sb 0.999 0.001 0.253
Sb 0.999 0.499 0.753

Values from the calculation:
Total energy ... -57.9 eV for the cell shown
Formation energy from raw total energies ... -0.57 eV/atom
V ... 374.5 Å³/cell
Calculated density ... 8.424 Mg/m³
Energy relative to the lowest polymorph listed for this composition ... 12.2 kJ/mol of atoms

***

VASP calculation (PBE-GGA) on crystalline NdBiSb at its relaxed geometry.

Cell lengths 5.963, 5.963, 5.963 Å; angles 138.86, 138.86, 59.59 degrees
Fractional positions:
Nd 0.000 0.000 0.000
Bi 0.662 0.662 0.000
Sb 0.359 0.359 0.000

Values from the calculation:
Total energy ... -14.6 eV for the cell shown
Formation energy from raw total energies ... -0.61 eV/atom
V ... 90.9 Å³/cell
Calculated density ... 8.681 Mg/m³
Energy relative to the lowest polymorph listed for this composition ... 8.6 kJ/mol of atoms

***

VASP calculation (PBE-GGA) on crystalline Nd2BiSb4 at its relaxed geometry.

Cell lengths 4.394, 4.394, 11.530 Å; angles 90.00, 90.00, 90.00 degrees
Fractional positions:
Nd 0.000 0.500 0.215
Nd 0.500 0.000 0.785
Bi 0.000 0.000 0.500
Sb 0.000 0.000 0.000
Sb 0.000 0.500 0.697
Sb 0.500 0.000 0.303
Sb 0.500 0.500 0.000

Values from the calculation:
Total energy ... -34.3 eV for the cell shown
Formation energy from raw total energies ... -0.63 eV/atom
V ... 222.6 Å³/cell
Calculated density ... 7.344 Mg/m³

***

VASP calculation (PBE-GGA) on crystalline Nd4BiSb at its relaxed geometry.

Cell lengths 11.645, 11.645, 6.533 Å; angles 90.00, 90.00, 151.44 degrees
Fractional positions:
Nd 0.069 0.931 0.750
Nd 0.212 0.788 0.501
Nd 0.212 0.788 0.999
Nd 0.368 0.632 0.750
Nd 0.632 0.368 0.250
Nd 0.788 0.212 0.001
Nd 0.788 0.212 0.499
Nd 0.931 0.069 0.250
Bi 0.071 0.929 0.250
Bi 0.929 0.071 0.750
Sb 0.346 0.654 0.250
Sb 0.654 0.346 0.750

Values from the calculation:
Total energy ... -60.8 eV for the cell shown
Formation energy from raw total energies ... -0.56 eV/atom
V ... 423.5 Å³/cell
Calculated density ... 7.119 Mg/m³

***

VASP calculation (PBE-GGA) on crystalline Nd5Bi4Sb at its relaxed geometry.

Cell lengths 7.954, 7.954, 7.954 Å; angles 99.59, 99.59, 131.82 degrees
Fractional positions:
Nd 0.000 0.000 0.000
Nd 0.204 0.599 0.803
Nd 0.401 0.204 0.604
Nd 0.599 0.796 0.396
Nd 0.796 0.401 0.197
Bi 0.099 0.301 0.399
Bi 0.301 0.901 0.202
Bi 0.699 0.099 0.798
Bi 0.901 0.699 0.601
Sb 0.500 0.500 0.000

Values from the calculation:
Total energy ... -53.5 eV for the cell shown
Formation energy from raw total energies ... -1.00 eV/atom
V ... 342.4 Å³/cell
Calculated density ... 8.142 Mg/m³

***

VASP calculation (PBE-GGA) on crystalline Nd5BiSb4 at its relaxed geometry.

Cell lengths 12.009, 12.009, 12.009 Å; angles 158.19, 149.00, 38.22 degrees
Fractional positions:
Nd 0.000 0.000 0.000
Nd 0.200 0.200 0.000
Nd 0.398 0.398 0.000
Nd 0.602 0.602 0.000
Nd 0.800 0.800 0.000
Bi 0.500 0.000 0.500
Sb 0.100 0.600 0.500
Sb 0.299 0.799 0.500
Sb 0.701 0.201 0.500
Sb 0.900 0.400 0.500

Values from the calculation:
Total energy ... -55.6 eV for the cell shown
Formation energy from raw total energies ... -1.14 eV/atom
V ... 330.9 Å³/cell
Calculated density ... 7.112 Mg/m³

***

VASP calculation (PBE-GGA) on crystalline Nd8BiSb2 at its relaxed geometry.

Cell lengths 9.843, 9.843, 8.037 Å; angles 93.84, 93.84, 28.29 degrees
Fractional positions:
Nd 0.002 0.002 0.243
Nd 0.218 0.218 0.862
Nd 0.333 0.333 0.465
Nd 0.400 0.400 0.983
Nd 0.600 0.600 0.017
Nd 0.667 0.667 0.535
Nd 0.782 0.782 0.138
Nd 0.998 0.998 0.757
Bi 0.500 0.500 0.500
Sb 0.175 0.175 0.267
Sb 0.825 0.825 0.733

Values from the calculation:
Total energy ... -55.9 eV for the cell shown
Formation energy from raw total energies ... -0.51 eV/atom
V ... 368.1 Å³/cell
Calculated density ... 7.247 Mg/m³

***

VASP calculation (PBE-GGA) on crystalline Nd7Bi2Sb2 at its relaxed geometry.

Cell lengths 7.554, 7.554, 6.995 Å; angles 90.00, 90.00, 99.65 degrees
Fractional positions:
Nd 0.000 0.000 0.000
Nd 0.000 0.500 0.268
Nd 0.000 0.500 0.732
Nd 0.500 0.000 0.268
Nd 0.500 0.000 0.732
Nd 0.500 0.500 0.256
Nd 0.500 0.500 0.744
Bi 0.195 0.195 0.500
Bi 0.805 0.805 0.500
Sb 0.274 0.726 0.000
Sb 0.726 0.274 0.000

Values from the calculation:
Total energy ... -55.0 eV for the cell shown
Formation energy from raw total energies ... -0.51 eV/atom
V ... 393.5 Å³/cell
Calculated density ... 7.052 Mg/m³

***

VASP calculation (PBE-GGA) on crystalline NdBiSb2 at its relaxed geometry.

Cell lengths 11.811, 11.811, 11.811 Å; angles 17.07, 17.07, 17.07 degrees
Fractional positions:
Nd 0.000 0.000 0.000
Bi 0.500 0.500 0.500
Sb 0.408 0.408 0.408
Sb 0.592 0.592 0.592

Values from the calculation:
Total energy ... -17.7 eV for the cell shown
Formation energy from raw total energies ... -0.19 eV/atom
V ... 123.9 Å³/cell
Calculated density ... 7.997 Mg/m³
Energy relative to the lowest polymorph listed for this composition ... 30.7 kJ/mol of atoms

***

VASP calculation (PBE-GGA) on crystalline Nd3BiSb2 at its relaxed geometry.

Cell lengths 7.886, 7.886, 7.886 Å; angles 146.44, 131.86, 59.96 degrees
Fractional positions:
Nd 0.000 0.000 0.000
Nd 0.330 0.330 0.000
Nd 0.670 0.670 0.000
Bi 0.500 0.000 0.500
Sb 0.166 0.666 0.500
Sb 0.834 0.334 0.500

Values from the calculation:
Total energy ... -33.1 eV for the cell shown
Formation energy from raw total energies ... -1.11 eV/atom
V ... 200.1 Å³/cell
Calculated density ... 7.346 Mg/m³

***

VASP calculation (PBE-GGA) on crystalline NdBiSb2 at its relaxed geometry.

Cell lengths 4.554, 4.554, 11.433 Å; angles 90.00, 90.00, 90.00 degrees
Fractional positions:
Nd 0.250 0.250 0.222
Nd 0.750 0.750 0.778
Bi 0.250 0.750 0.500
Bi 0.750 0.250 0.500
Sb 0.250 0.250 0.738
Sb 0.250 0.750 0.000
Sb 0.750 0.250 0.000
Sb 0.750 0.750 0.262

Values from the calculation:
Total energy ... -37.9 eV for the cell shown
Formation energy from raw total energies ... -0.51 eV/atom
V ... 237.1 Å³/cell
Calculated density ... 8.360 Mg/m³
Energy relative to the lowest polymorph listed for this composition ... 0.0 kJ/mol of atoms

***

VASP calculation (PBE-GGA) on crystalline Nd4Bi2SbSe at its relaxed geometry.

Cell lengths 7.784, 4.505, 7.800 Å; angles 90.00, 109.46, 90.00 degrees
Fractional positions:
Nd 0.243 0.000 0.239
Nd 0.249 0.500 0.759
Nd 0.751 0.500 0.241
Nd 0.757 0.000 0.761
Bi 0.000 0.000 0.500
Bi 0.500 0.500 0.500
Sb 0.500 0.000 0.000
Se 0.000 0.500 0.000

Values from the calculation:
Total energy ... -44.3 eV for the cell shown
Formation energy from raw total energies ... -1.23 eV/atom
V ... 257.9 Å³/cell
Calculated density ... 7.698 Mg/m³

***

VASP calculation (PBE-GGA) on crystalline Nd6BiSb3Se2 at its relaxed geometry.

Cell lengths 9.938, 9.938, 8.892 Å; angles 102.80, 102.80, 25.94 degrees
Fractional positions:
Nd 0.004 0.004 0.257
Nd 0.330 0.330 0.910
Nd 0.332 0.332 0.421
Nd 0.668 0.668 0.579
Nd 0.670 0.670 0.090
Nd 0.996 0.996 0.743
Bi 0.500 0.500 0.000
Sb 0.164 0.164 0.831
Sb 0.500 0.500 0.500
Sb 0.836 0.836 0.169
Se 0.169 0.169 0.336
Se 0.831 0.831 0.664

Values from the calculation:
Total energy ... -68.2 eV for the cell shown
Formation energy from raw total energies ... -1.36 eV/atom
V ... 374.1 Å³/cell
Calculated density ... 7.092 Mg/m³

***

VASP calculation (PBE-GGA) on crystalline Nd6Bi3SbSe2 at its relaxed geometry.

Cell lengths 10.007, 10.007, 8.949 Å; angles 102.99, 102.99, 25.88 degrees
Fractional positions:
Nd 0.005 0.005 0.249
Nd 0.330 0.330 0.426
Nd 0.333 0.333 0.907
Nd 0.667 0.667 0.093
Nd 0.670 0.670 0.574
Nd 0.995 0.995 0.751
Bi 0.165 0.165 0.831
Bi 0.500 0.500 0.500
Bi 0.835 0.835 0.169
Sb 0.500 0.500 0.000
Se 0.168 0.168 0.335
Se 0.832 0.832 0.665

Values from the calculation:
Total energy ... -66.6 eV for the cell shown
Formation energy from raw total energies ... -1.27 eV/atom
V ... 380.6 Å³/cell
Calculated density ... 7.731 Mg/m³

***

VASP calculation (PBE-GGA) on crystalline Nd6Bi2SbSe3 at its relaxed geometry.

Cell lengths 9.869, 9.869, 8.813 Å; angles 102.89, 102.89, 25.85 degrees
Fractional positions:
Nd 0.004 0.004 0.246
Nd 0.332 0.332 0.428
Nd 0.338 0.338 0.906
Nd 0.662 0.662 0.094
Nd 0.668 0.668 0.572
Nd 0.996 0.996 0.754
Bi 0.167 0.167 0.834
Bi 0.833 0.833 0.166
Sb 0.500 0.500 0.500
Se 0.167 0.167 0.334
Se 0.500 0.500 0.000
Se 0.833 0.833 0.666

Values from the calculation:
Total energy ... -68.0 eV for the cell shown
Formation energy from raw total energies ... -1.42 eV/atom
V ... 364.3 Å³/cell
Calculated density ... 7.485 Mg/m³

***

VASP calculation (PBE-GGA) on crystalline Nd4BiSbSe2 at its relaxed geometry.

Cell lengths 7.610, 4.416, 7.639 Å; angles 90.00, 109.64, 90.00 degrees
Fractional positions:
Nd 0.233 0.000 0.240
Nd 0.237 0.500 0.749
Nd 0.763 0.500 0.251
Nd 0.767 0.000 0.760
Bi 0.500 0.500 0.500
Sb 0.500 0.000 0.000
Se 0.000 0.000 0.500
Se 0.000 0.500 0.000

Values from the calculation:
Total energy ... -45.6 eV for the cell shown
Formation energy from raw total energies ... -1.45 eV/atom
V ... 241.8 Å³/cell
Calculated density ... 7.319 Mg/m³

***

VASP calculation (PBE-GGA) on crystalline Nd6Bi3Sb2Se at its relaxed geometry.

Cell lengths 10.104, 10.104, 9.054 Å; angles 102.95, 102.95, 25.88 degrees
Fractional positions:
Nd 0.000 0.000 0.242
Nd 0.000 0.000 0.758
Nd 0.332 0.332 0.420
Nd 0.338 0.338 0.915
Nd 0.662 0.662 0.085
Nd 0.668 0.668 0.580
Bi 0.168 0.168 0.835
Bi 0.500 0.500 0.500
Bi 0.832 0.832 0.165
Sb 0.165 0.165 0.332
Sb 0.835 0.835 0.668
Se 0.500 0.500 0.000

Values from the calculation:
Total energy ... -66.1 eV for the cell shown
Formation energy from raw total energies ... -1.18 eV/atom
V ... 392.6 Å³/cell
Calculated density ... 7.676 Mg/m³

***

VASP calculation (PBE-GGA) on crystalline Nd6BiSb2Se3 at its relaxed geometry.

Cell lengths 9.835, 9.835, 8.779 Å; angles 102.78, 102.78, 25.88 degrees
Fractional positions:
Nd 0.002 0.002 0.238
Nd 0.329 0.329 0.421
Nd 0.335 0.335 0.912
Nd 0.665 0.665 0.088
Nd 0.671 0.671 0.579
Nd 0.998 0.998 0.762
Bi 0.500 0.500 0.500
Sb 0.167 0.167 0.833
Sb 0.833 0.833 0.167
Se 0.166 0.166 0.333
Se 0.500 0.500 0.000
Se 0.834 0.834 0.667

Values from the calculation:
Total energy ... -68.8 eV for the cell shown
Formation energy from raw total energies ... -1.47 eV/atom
V ... 361.0 Å³/cell
Calculated density ... 7.152 Mg/m³

***

VASP calculation (PBE-GGA) on crystalline Nd6Bi2Sb3Se at its relaxed geometry.

Cell lengths 10.070, 10.070, 9.028 Å; angles 102.83, 102.83, 25.90 degrees
Fractional positions:
Nd 0.002 0.002 0.255
Nd 0.335 0.335 0.913
Nd 0.337 0.337 0.423
Nd 0.663 0.663 0.577
Nd 0.665 0.665 0.087
Nd 0.998 0.998 0.745
Bi 0.166 0.166 0.832
Bi 0.834 0.834 0.168
Sb 0.168 0.168 0.335
Sb 0.500 0.500 0.000
Sb 0.832 0.832 0.665
Se 0.500 0.500 0.500

Values from the calculation:
Total energy ... -66.8 eV for the cell shown
Formation energy from raw total energies ... -1.22 eV/atom
V ... 389.3 Å³/cell
Calculated density ... 7.369 Mg/m³

***

VASP calculation (PBE-GGA) on crystalline NdSmBiSb at its relaxed geometry.

Cell lengths 7.865, 7.865, 7.865 Å; angles 33.55, 33.55, 33.55 degrees
Fractional positions:
Nd 0.000 0.000 0.000
Sm 0.496 0.496 0.496
Bi 0.247 0.247 0.247
Sb 0.749 0.749 0.749

Values from the calculation:
Total energy ... -21.7 eV for the cell shown
Formation energy from raw total energies ... -1.06 eV/atom
V ... 132.4 Å³/cell
Calculated density ... 7.845 Mg/m³